1.
Material: MnCrTe2
Method: DFT, PBE
State: optimized geometry

Computed properties:
The uncorrected formation energy comes out at 0.20 eV/atom. The value obtained for the uncorrected energy is -6.073 eV/atom. Its density of states at the Fermi level is 0.771 states/eV/atom.

abc: 7.2758 7.2758 7.2758
angles: 152.41 147.03 43.51
Positions (direct):
Cr 0.4280 0.4280 0.0000
Te 0.2649 0.7649 0.5000
Mn 0.8165 0.3165 0.5000
Te 0.9907 0.9907 0.0000

2.
Material: Mg2Sc4O
Method: DFT, PBE
State: optimized geometry

Computed properties:
The uncorrected formation energy comes out at -0.68 eV/atom. The value obtained for the uncorrected energy is -5.461 eV/atom. Its density of states at the Fermi level is 1.279 states/eV/atom.

abc: 4.4368 4.4368 8.3031
angles: 74.50 74.50 90.00
Positions (direct):
Mg 0.6445 0.6445 0.7109
O 0.0000 0.0000 0.0000
Mg 0.3555 0.3555 0.2891
Sc 0.8525 0.8525 0.2950
Sc 0.0000 0.5000 0.0000
Sc 0.1475 0.1475 0.7050
Sc 0.5000 0.0000 0.0000

3.
Material: La5GaAu2
Method: DFT, PBE
State: optimized geometry

Computed properties:
The formation energy from the elements comes out at -0.544 eV/atom. The value obtained for the uncorrected energy is -4.821 eV/atom. Its density of states at the Fermi level is 1.292 states/eV/atom.

abc: 8.4654 8.4654 8.9093
angles: 118.37 118.37 90.00
Positions (direct):
Au 0.1307 0.3693 0.0000
La 0.5000 0.5000 0.0000
Au 0.3693 0.8693 0.0000
La 0.1883 0.0123 0.7006
La 0.8117 0.9877 0.2994
La 0.0123 0.5123 0.7006
Au 0.8693 0.6307 0.0000
La 0.0000 0.0000 0.0000
La 0.3117 0.8117 0.2994
La 0.4877 0.3117 0.2994
Ga 0.7500 0.7500 0.5000
La 0.6883 0.1883 0.7006
Au 0.6307 0.1307 0.0000
La 0.9877 0.4877 0.2994
Ga 0.2500 0.2500 0.5000
La 0.5123 0.6883 0.7006

4.
Material: Ca2Hg3Au
Method: DFT, PBE
State: optimized geometry

Computed properties:
The polymorph energy (0 for the lowest one) comes out at 0.00 eV per formula unit. The formation energy from the elements comes out at -0.521 eV/atom. The value obtained for the uncorrected energy is -1.885 eV/atom. Its density of states at the Fermi level is 0.419 states/eV/atom.

abc: 3.6247 4.8333 8.7463
angles: 90.00 90.00 90.00
Positions (direct):
Hg 0.5000 0.0000 0.8355
Ca 0.0000 0.0000 0.4803
Hg 0.5000 0.0000 0.1669
Au 0.5000 0.5000 0.3355
Hg 0.5000 0.5000 0.6595
Ca 0.0000 0.5000 0.0224

5.
Material: Ti2Cd2Hg
Method: DFT, PBE
State: optimized geometry

Computed properties:
The polymorph energy (0 for the lowest one) comes out at 0.06 eV per formula unit. The formation energy from the elements comes out at 0.239 eV/atom. The value obtained for the uncorrected energy is -3.346 eV/atom. Its density of states at the Fermi level is 0.799 states/eV/atom.

abc: 8.1115 8.1115 3.2125
angles: 90.00 90.00 90.00
Positions (direct):
Hg 0.0000 0.0000 0.0000
Ti 0.8880 0.6120 0.0000
Cd 0.1823 0.6823 0.5000
Ti 0.6120 0.1120 0.0000
Cd 0.6823 0.8177 0.5000
Hg 0.5000 0.5000 0.0000
Ti 0.1120 0.3880 0.0000
Cd 0.3177 0.1823 0.5000
Cd 0.8177 0.3177 0.5000
Ti 0.3880 0.8880 0.0000

6.
Material: Nd2LuSc
Method: DFT, PBE
State: optimized geometry

Computed properties:
The polymorph energy (0 for the lowest one) comes out at 0.00 eV per formula unit. The formation energy from the elements comes out at 0.039 eV/atom. The value obtained for the uncorrected energy is -5.058 eV/atom. Its density of states at the Fermi level is 1.357 states/eV/atom.

abc: 3.6158 3.6158 9.4221
angles: 90.00 90.00 90.00
Positions (direct):
Lu 0.5000 0.5000 0.5000
Nd 0.0000 0.0000 0.7586
Nd 0.0000 0.0000 0.2414
Sc 0.5000 0.5000 0.0000

7.
Material: CaSi2GeSb
Method: DFT, PBE
State: optimized geometry

Computed properties:
The uncorrected formation energy comes out at 1.28 eV/atom. The value obtained for the uncorrected energy is -3.042 eV/atom. Its density of states at the Fermi level is 1.064 states/eV/atom.

abc: 5.2694 5.3270 5.2694
angles: 90.00 90.00 90.00
Positions (direct):
Ca 0.0000 0.0000 0.0000
Si 0.5000 0.0000 0.0000
Ge 0.0000 0.5000 0.0000
Sb 0.5000 0.5000 0.5000
Si 0.0000 0.0000 0.5000

8.
Material: NaTcO
Method: DFT, PBE
State: optimized geometry

Computed properties:
The polymorph energy (0 for the lowest one) comes out at 0.14 eV per formula unit. The uncorrected formation energy comes out at -0.91 eV/atom. The value obtained for the uncorrected energy is -6.456 eV/atom. Its density of states at the Fermi level is 0.222 states/eV/atom.

abc: 3.1382 2.7612 10.5728
angles: 90.00 90.19 90.00
Positions (direct):
O 0.7525 0.7500 0.2181
Na 0.2537 0.2500 0.3257
Tc 0.2491 0.7500 0.9252
O 0.2475 0.2500 0.7819
Tc 0.7509 0.2500 0.0748
Na 0.7463 0.7500 0.6743

9.
Material: Pr2HoCu
Method: DFT, PBE
State: optimized geometry

Computed properties:
The polymorph energy (0 for the lowest one) comes out at 0.42 eV per formula unit. The formation energy from the elements comes out at 0.079 eV/atom. The value obtained for the uncorrected energy is -4.480 eV/atom. Its density of states at the Fermi level is 1.185 states/eV/atom.

abc: 3.7117 3.7117 10.2625
angles: 79.58 79.58 60.00
Positions (direct):
Pr 0.2634 0.2634 0.2098
Cu 0.6671 0.6671 0.9986
Pr 0.0700 0.0700 0.7899
Ho 0.4994 0.4994 0.5017

10.
Material: Si2TcTe
Method: DFT, PBE
State: optimized geometry

Computed properties:
The uncorrected formation energy comes out at 0.10 eV/atom. The value obtained for the uncorrected energy is -5.990 eV/atom. Its density of states at the Fermi level is 0.328 states/eV/atom.

abc: 3.1409 3.1409 7.3491
angles: 90.00 90.00 90.00
Positions (direct):
Si 0.5000 0.5000 0.2691
Te 0.5000 0.5000 0.6917
Tc 0.0000 0.0000 0.4491
Si 0.0000 0.0000 0.0900

11.
Material: Ti2AgAu
Method: DFT, PBE
State: optimized geometry

Computed properties:
The formation energy from the elements comes out at -0.132 eV/atom. The value obtained for the uncorrected energy is -5.611 eV/atom. Its density of states at the Fermi level is 1.301 states/eV/atom.

abc: 4.1252 4.0651 4.0651
angles: 90.00 90.00 90.00
Positions (direct):
Ti 0.0000 0.0000 0.5000
Ti 0.0000 0.5000 0.0000
Au 0.5000 0.5000 0.5000
Ag 0.5000 0.0000 0.0000

12.
Material: MnCdMo2Cl
Method: DFT, PBE
State: optimized geometry

Computed properties:
The uncorrected formation energy comes out at 1.30 eV/atom. The value obtained for the uncorrected energy is -5.415 eV/atom. Its density of states at the Fermi level is 1.035 states/eV/atom.

abc: 4.4146 4.4146 5.1228
angles: 90.00 90.00 90.00
Positions (direct):
Cd 0.0000 0.0000 0.5000
Cl 0.0000 0.0000 0.0000
Mo 0.0000 0.5000 0.0000
Mn 0.5000 0.5000 0.5000
Mo 0.5000 0.0000 0.0000